No. 1
ZrTl2Co after structural relaxation, computed with GGA-PBE.

Lattice parameters (Å, degrees): 4.5225 3.2305 5.7860 79.53 90.00 90.00
Last column: magnetic moment on the atom in μB.
Sites, in units of the cell vectors:
Tl1 0.0000 0.6025 0.5152  -0.01
Tl2 0.0000 0.8975 0.9848  -0.01
Zr1 0.5000 0.2500 0.2500  -0.04
Co1 0.5000 0.7500 0.7500  1.35

Computed properties:
The total DFT energy (no corrections) is -0.17523 Ha/atom. For the energy relative to the elements, the calculation gives 0.3283 eV per atom.

No. 2
Cu2PdBrO after structural relaxation, computed with GGA-PBE.

Lattice parameters (Å, degrees): 4.6480 3.8962 4.6480 90.00 90.00 90.00
Sites, in units of the cell vectors:
Cu1 0.0000 0.0000 0.5000
Cu2 0.5000 0.0000 0.0000
Br1 0.0000 0.0000 0.0000
O1 0.0000 0.5000 0.0000
Pd1 0.5000 0.5000 0.5000

Computed properties:
The total DFT energy (no corrections) is -0.11479 Ha/atom.

No. 3
Li3Ga4Cu2 after structural relaxation, computed with GGA-PBE.

Lattice parameters (Å, degrees): 5.5204 7.5539 7.5539 59.73 89.97 89.97
Sites, in units of the cell vectors:
Li1 0.7498 0.8310 0.8311
Li2 0.7502 0.1689 0.1690
Li3 0.2500 0.5001 0.4999
Li4 0.2498 0.8311 0.8310
Li5 0.7500 0.4999 0.5001
Li6 0.2502 0.1690 0.1689
Ga1 0.0000 0.1770 0.8361
Ga2 0.5011 0.4912 0.1763
Ga3 0.0011 0.1763 0.4912
Ga4 0.5000 0.8361 0.1770
Ga5 0.4989 0.5088 0.8237
Ga6 0.5000 0.1639 0.8230
Ga7 0.0000 0.8230 0.1639
Ga8 0.9989 0.8237 0.5088
Cu1 0.9991 0.5008 0.8360
Cu2 0.0009 0.4992 0.1640
Cu3 0.5009 0.1640 0.4992
Cu4 0.4991 0.8360 0.5008

Computed properties:
The total DFT energy (no corrections) is -0.11469 Ha/atom. For the energy relative to the elements, the calculation gives -0.2275 eV per atom.

No. 4
SrScOs2O8 after structural relaxation, computed with GGA-PBE.

Lattice parameters (Å, degrees): 5.8360 5.8360 6.9460 90.00 90.00 120.00
Last column: magnetic moment on the atom in μB.
Sites, in units of the cell vectors:
Os1 0.6667 0.3333 0.2308  0.86
Os2 0.3333 0.6667 0.7692  0.86
O1 0.3333 0.6667 0.0286  0.18
O2 0.1592 0.8419 0.6958  0.10
O3 0.3173 0.1592 0.3042  0.10
O4 0.6667 0.3333 0.9714  0.18
O5 0.8419 0.6827 0.3042  0.10
O6 0.1581 0.3173 0.6958  0.10
O7 0.6827 0.8408 0.6958  0.10
O8 0.8408 0.1581 0.3042  0.10
Sr1 0.0000 0.0000 0.0000  0.01
Sc1 0.0000 0.0000 0.5000  0.03

Computed properties:
The total DFT energy (no corrections) is -0.27478 Ha/atom.

No. 5
Cs3Rb2Hg3 after structural relaxation, computed with GGA-PBE.

Lattice parameters (Å, degrees): 5.6859 8.7610 19.7072 90.00 90.00 108.94
Sites, in units of the cell vectors:
Rb1 0.2266 0.4532 0.4176
Rb2 0.7734 0.5468 0.9176
Rb3 0.7734 0.5468 0.5824
Rb4 0.2266 0.4532 0.0824
Hg1 0.3427 0.6854 0.2500
Hg2 0.6573 0.3146 0.7500
Hg3 0.4151 0.8301 0.9671
Hg4 0.4151 0.8301 0.5329
Hg5 0.5849 0.1699 0.0329
Hg6 0.5849 0.1699 0.4671
Cs1 0.9438 0.8876 0.1201
Cs2 0.0562 0.1124 0.6201
Cs3 0.0562 0.1124 0.8799
Cs4 0.6442 0.2884 0.2500
Cs5 0.3558 0.7116 0.7500
Cs6 0.9438 0.8876 0.3799

Computed properties:
The total DFT energy (no corrections) is -0.03115 Ha/atom. For the energy relative to the elements, the calculation gives -0.1724 eV per atom.

No. 6
CoCu2W after structural relaxation, computed with GGA-PBE.

Lattice parameters (Å, degrees): 2.6946 4.2396 4.5011 90.00 90.00 90.00
Last column: magnetic moment on the atom in μB.
Sites, in units of the cell vectors:
Co1 0.0000 0.5000 0.5000  0.27
Cu1 0.0000 0.0000 0.0000  0.00
Cu2 0.5000 0.5000 0.0000  0.01
W1 0.5000 0.0000 0.5000  -0.01

Computed properties:
The total DFT energy (no corrections) is -0.24713 Ha/atom. For the energy relative to the elements, the calculation gives 0.3380 eV per atom.

No. 7
NaMg2Pd9 after structural relaxation, computed with GGA-PBE.

Lattice parameters (Å, degrees): 3.9915 3.9915 11.9279 90.00 90.00 90.00
Sites, in units of the cell vectors:
Pd1 0.5000 0.0000 0.5000
Pd2 0.5000 0.0000 0.8282
Pd3 0.5000 0.0000 0.1718
Pd4 0.5000 0.5000 0.0000
Pd5 0.0000 0.5000 0.8282
Pd6 0.0000 0.5000 0.5000
Pd7 0.5000 0.5000 0.6647
Pd8 0.0000 0.5000 0.1718
Pd9 0.5000 0.5000 0.3353
Mg1 0.0000 0.0000 0.6656
Mg2 0.0000 0.0000 0.3344
Na1 0.0000 0.0000 0.0000

Computed properties:
The total DFT energy (no corrections) is -0.16853 Ha/atom. For the energy relative to the elements, the calculation gives -0.3157 eV per atom.

No. 8
Rb2TbSi2S6 after structural relaxation, computed with GGA-PBE.

Lattice parameters (Å, degrees): 7.1609 7.1180 7.9983 117.20 90.00 120.20
Last column: magnetic moment on the atom in μB.
Sites, in units of the cell vectors:
S1 0.2040 0.9170 0.2128  0.04
S2 0.2870 0.0830 0.7872  0.04
S3 0.7130 0.9170 0.2128  0.04
S4 0.7576 0.5153 0.6673  0.05
S5 0.2424 0.4847 0.3327  0.05
S6 0.7960 0.0830 0.7872  0.04
Si1 0.9576 0.9152 0.8109  0.05
Si2 0.0424 0.0848 0.1891  0.05
Rb1 0.7170 0.4339 0.2094  0.00
Rb2 0.2830 0.5661 0.7906  0.00
Tb1 0.5000 0.0000 0.5000  0.05

Computed properties:
The total DFT energy (no corrections) is -0.18020 Ha/atom.

No. 9
CsCeC2O6 after structural relaxation, computed with GGA-PBE.

Lattice parameters (Å, degrees): 6.7375 6.7375 7.6100 104.86 104.86 92.78
Last column: magnetic moment on the atom in μB.
Sites, in units of the cell vectors:
O1 0.7209 0.7767 0.3696  0.00
O2 0.7063 0.4701 0.5996  0.00
O3 0.7767 0.7209 0.8696  0.00
O4 0.6074 0.0395 0.2535  0.00
O5 0.0395 0.6074 0.7535  0.00
O6 0.2937 0.5299 0.4004  0.00
O7 0.4701 0.7063 0.0996  0.00
O8 0.9605 0.3926 0.2465  0.00
O9 0.3926 0.9605 0.7465  0.00
O10 0.2233 0.2791 0.1304  0.00
O11 0.2791 0.2233 0.6304  0.00
O12 0.5299 0.2937 0.9004  0.00
C1 0.6010 0.8456 0.2415  0.00
C2 0.3990 0.1544 0.7585  0.00
C3 0.8456 0.6010 0.7415  0.00
C4 0.1544 0.3990 0.2585  0.00
Cs1 0.1074 0.8926 0.2500  0.00
Cs2 0.8926 0.1074 0.7500  0.00
Ce1 0.6011 0.3989 0.2500  0.97
Ce2 0.3989 0.6011 0.7500  0.97

Computed properties:
The total DFT energy (no corrections) is -0.27873 Ha/atom.

No. 10
Nd2DyTe2Se2 after structural relaxation, computed with GGA-PBE.

Lattice parameters (Å, degrees): 5.3015 5.3015 8.8377 107.45 107.45 90.00
Sites, in units of the cell vectors:
Nd1 0.3824 0.3824 0.7649
Nd2 0.6176 0.6176 0.2351
Te1 0.1870 0.1870 0.3741
Te2 0.8130 0.8130 0.6259
Se1 0.0000 0.5000 0.0000
Se2 0.5000 0.0000 0.0000
Dy1 0.0000 0.0000 0.0000

Computed properties:
The total DFT energy (no corrections) is -0.19279 Ha/atom.

No. 11
MnGaSiS after structural relaxation, computed with GGA-PBE.

Lattice parameters (Å, degrees): 2.9003 2.9010 8.8506 90.02 90.11 120.04
Sites, in units of the cell vectors:
Mn1 0.0458 0.3719 0.6075
Si1 0.3809 0.0400 0.8043
Ga1 0.3830 0.0426 0.0917
S1 0.3777 0.0377 0.4475

Computed properties:
The total DFT energy (no corrections) is -0.20538 Ha/atom.

No. 12
AlCuSi5 after structural relaxation, computed with GGA-PBE.

Lattice parameters (Å, degrees): 3.7399 3.7399 7.5505 90.00 90.00 90.00
Sites, in units of the cell vectors:
Si1 0.5000 0.0000 0.7185
Si2 0.5000 0.5000 0.0000
Si3 0.0000 0.5000 0.7185
Si4 0.5000 0.0000 0.2815
Si5 0.0000 0.5000 0.2815
Cu1 0.0000 0.0000 0.5000
Al1 0.0000 0.0000 0.0000

Computed properties:
The total DFT energy (no corrections) is -0.17147 Ha/atom.

Q: Which of these has the highest total DFT energy (no corrections)?
A: Cs3Rb2Hg3

Please write out number 10 again, unchanged.
Nd2DyTe2Se2 after structural relaxation, computed with GGA-PBE.

Lattice parameters (Å, degrees): 5.3015 5.3015 8.8377 107.45 107.45 90.00
Sites, in units of the cell vectors:
Nd1 0.3824 0.3824 0.7649
Nd2 0.6176 0.6176 0.2351
Te1 0.1870 0.1870 0.3741
Te2 0.8130 0.8130 0.6259
Se1 0.0000 0.5000 0.0000
Se2 0.5000 0.0000 0.0000
Dy1 0.0000 0.0000 0.0000

Computed properties:
The total DFT energy (no corrections) is -0.19279 Ha/atom.

Q: Which value of total DFT energy (no corrections) does entry 6 give?
A: -0.24713 Ha/atom

Q: Among the records above, which one has the lowest total DFT energy (no corrections)?
A: CsCeC2O6